No. 1
Material: Ba4C
Method: DFT, PBE
State: optimized geometry

Energy of formation from the pure elements in eV/atom: 0.462
Space group: I4/m, No. 87
Density in g/cm3: 4.303
DOS(E_F) in states/eV per cell: 5.33
Electronic total energy in eV for the cell shown: -14.60

```
data_Ba4C
_cell_length_a 7.758
_cell_length_b 7.758
_cell_length_c 7.758
_cell_angle_alpha 93.50
_cell_angle_beta 93.50
_cell_angle_gamma 151.40
_space_group_name_H-M_alt 'P 1'
_space_group_IT_number 1
loop_
_space_group_symop_operation_xyz
'x,y,z'
loop_
_atom_site_label
_atom_site_type_symbol
_atom_site_fract_x
_atom_site_fract_y
_atom_site_fract_z
Ba1 Ba 0.039 0.781 0.820
Ba2 Ba 0.219 0.039 0.257
Ba3 Ba 0.781 0.961 0.743
Ba4 Ba 0.961 0.219 0.180
C1 C 0.500 0.500 0.000
```

***

No. 2
Material: Ac2Cd3InGa4
Method: DFT, PBE
State: optimized geometry

Energy of formation from the pure elements in eV/atom: -0.387
Space group: P-4m2, No. 115
Density in g/cm3: 7.981
DOS(E_F) in states/eV per cell: 1.54
Electronic total energy in eV for the cell shown: -29.68

```
data_Ac2Cd3InGa4
_cell_length_a 4.671
_cell_length_b 4.671
_cell_length_c 11.298
_cell_angle_alpha 90.00
_cell_angle_beta 90.00
_cell_angle_gamma 90.00
_space_group_name_H-M_alt 'P 1'
_space_group_IT_number 1
loop_
_space_group_symop_operation_xyz
'x,y,z'
loop_
_atom_site_label
_atom_site_type_symbol
_atom_site_fract_x
_atom_site_fract_y
_atom_site_fract_z
Ac1 Ac 0.000 0.500 0.245
Ac2 Ac 0.500 0.000 0.755
Cd1 Cd 0.000 0.500 0.873
Cd2 Cd 0.500 0.000 0.127
Cd3 Cd 0.500 0.500 0.500
In1 In 0.000 0.000 0.500
Ga1 Ga 0.000 0.000 0.000
Ga2 Ga 0.000 0.500 0.640
Ga3 Ga 0.500 0.000 0.360
Ga4 Ga 0.500 0.500 0.000
```

***

No. 3
Material: LuZrTcRu
Method: DFT, PBE
State: optimized geometry

Energy of formation from the pure elements in eV/atom: -0.337
Space group: F-43m, No. 216
Density in g/cm3: 10.616
DOS(E_F) in states/eV per cell: 6.91
Electronic total energy in eV for the cell shown: -34.06

```
data_LuZrTcRu
_cell_length_a 4.686
_cell_length_b 4.686
_cell_length_c 4.686
_cell_angle_alpha 60.00
_cell_angle_beta 60.00
_cell_angle_gamma 60.00
_space_group_name_H-M_alt 'P 1'
_space_group_IT_number 1
loop_
_space_group_symop_operation_xyz
'x,y,z'
loop_
_atom_site_label
_atom_site_type_symbol
_atom_site_fract_x
_atom_site_fract_y
_atom_site_fract_z
Lu1 Lu 0.000 0.000 0.000
Zr1 Zr 0.500 0.500 0.500
Tc1 Tc 0.250 0.250 0.250
Ru1 Ru 0.750 0.750 0.750
```

***

No. 4
Material: LiMgSc2S4
Method: DFT, PBE
State: optimized geometry

Space group: P2/m, No. 10
Density in g/cm3: 2.910
ΔE_f (raw) in eV/atom: -1.699
DOS(E_F) in states/eV per cell: 2.95
Electronic total energy in eV for the cell shown: -46.27

```
data_LiMgSc2S4
_cell_length_a 6.346
_cell_length_b 3.671
_cell_length_c 6.456
_cell_angle_alpha 90.00
_cell_angle_beta 108.85
_cell_angle_gamma 90.00
_space_group_name_H-M_alt 'P 1'
_space_group_IT_number 1
loop_
_space_group_symop_operation_xyz
'x,y,z'
loop_
_atom_site_label
_atom_site_type_symbol
_atom_site_fract_x
_atom_site_fract_y
_atom_site_fract_z
Li1 Li 0.000 0.000 0.000
Mg1 Mg 0.500 0.500 0.000
Sc1 Sc 0.000 0.500 0.500
Sc2 Sc 0.500 0.000 0.500
S1 S 0.251 0.000 0.752
S2 S 0.253 0.500 0.252
S3 S 0.747 0.500 0.748
S4 S 0.749 0.000 0.248
```

***

No. 5
Material: Tb4HoSe5
Method: DFT, PBE
State: optimized geometry

Space group: I4/mmm, No. 139
Density in g/cm3: 8.219
ΔE_f (raw) in eV/atom: -1.761
DOS(E_F) in states/eV per cell: 4.19
Electronic total energy in eV for the cell shown: -58.13

```
data_Tb4HoSe5
_cell_length_a 14.786
_cell_length_b 14.786
_cell_length_c 14.786
_cell_angle_alpha 164.14
_cell_angle_beta 164.14
_cell_angle_gamma 22.51
_space_group_name_H-M_alt 'P 1'
_space_group_IT_number 1
loop_
_space_group_symop_operation_xyz
'x,y,z'
loop_
_atom_site_label
_atom_site_type_symbol
_atom_site_fract_x
_atom_site_fract_y
_atom_site_fract_z
Tb1 Tb 0.102 0.102 0.000
Tb2 Tb 0.303 0.303 0.000
Tb3 Tb 0.697 0.697 0.000
Tb4 Tb 0.898 0.898 0.000
Ho1 Ho 0.500 0.500 0.000
Se1 Se 0.000 0.000 0.000
Se2 Se 0.202 0.202 0.000
Se3 Se 0.402 0.402 0.000
Se4 Se 0.598 0.598 0.000
Se5 Se 0.798 0.798 0.000
```

***

No. 6
Material: Th2Be6Rh9
Method: DFT, PBE
State: optimized geometry

Energy of formation from the pure elements in eV/atom: -0.571
Space group: P6/mmm, No. 191
Density in g/cm3: 9.384
DOS(E_F) in states/eV per cell: 10.93
Electronic total energy in eV for the cell shown: -113.07

```
data_Th2Be6Rh9
_cell_length_a 5.672
_cell_length_b 5.672
_cell_length_c 9.174
_cell_angle_alpha 90.00
_cell_angle_beta 90.00
_cell_angle_gamma 120.00
_space_group_name_H-M_alt 'P 1'
_space_group_IT_number 1
loop_
_space_group_symop_operation_xyz
'x,y,z'
loop_
_atom_site_label
_atom_site_type_symbol
_atom_site_fract_x
_atom_site_fract_y
_atom_site_fract_z
Th1 Th 0.000 0.000 0.213
Th2 Th 0.000 0.000 0.787
Be1 Be 0.333 0.667 0.166
Be2 Be 0.333 0.667 0.500
Be3 Be 0.333 0.667 0.834
Be4 Be 0.667 0.333 0.166
Be5 Be 0.667 0.333 0.500
Be6 Be 0.667 0.333 0.834
Rh1 Rh 0.000 0.500 0.000
Rh2 Rh 0.000 0.500 0.335
Rh3 Rh 0.000 0.500 0.665
Rh4 Rh 0.500 0.000 0.000
Rh5 Rh 0.500 0.000 0.335
Rh6 Rh 0.500 0.000 0.665
Rh7 Rh 0.500 0.500 0.000
Rh8 Rh 0.500 0.500 0.335
Rh9 Rh 0.500 0.500 0.665
```

***

No. 7
Material: Y10Bi4C3
Method: DFT, PBE
State: optimized geometry

Energy of formation from the pure elements in eV/atom: -0.608
Space group: I4/mmm, No. 139
Density in g/cm3: 6.807
DOS(E_F) in states/eV per cell: 12.08
Electronic total energy in eV for the cell shown: -118.18

```
data_Y10Bi4C3
_cell_length_a 18.183
_cell_length_b 18.183
_cell_length_c 18.183
_cell_angle_alpha 164.49
_cell_angle_beta 164.49
_cell_angle_gamma 22.00
_space_group_name_H-M_alt 'P 1'
_space_group_IT_number 1
loop_
_space_group_symop_operation_xyz
'x,y,z'
loop_
_atom_site_label
_atom_site_type_symbol
_atom_site_fract_x
_atom_site_fract_y
_atom_site_fract_z
Y1 Y 0.000 0.500 0.500
Y2 Y 0.069 0.069 0.000
Y3 Y 0.137 0.637 0.500
Y4 Y 0.207 0.207 0.000
Y5 Y 0.363 0.863 0.500
Y6 Y 0.500 0.000 0.500
Y7 Y 0.637 0.137 0.500
Y8 Y 0.793 0.793 0.000
Y9 Y 0.863 0.363 0.500
Y10 Y 0.931 0.931 0.000
Bi1 Bi 0.298 0.298 0.000
Bi2 Bi 0.431 0.431 0.000
Bi3 Bi 0.569 0.569 0.000
Bi4 Bi 0.702 0.702 0.000
C1 C 0.000 0.000 0.000
C2 C 0.140 0.140 0.000
C3 C 0.860 0.860 0.000
```

***

No. 8
Material: Tm8Te4AsP3
Method: DFT, PBE
State: optimized geometry

Space group: R-3m, No. 166
Density in g/cm3: 8.387
ΔE_f (raw) in eV/atom: -1.482
DOS(E_F) in states/eV per cell: 5.54
Electronic total energy in eV for the cell shown: -92.94

```
data_Tm8Te4AsP3
_cell_length_a 8.409
_cell_length_b 8.409
_cell_length_c 8.409
_cell_angle_alpha 58.08
_cell_angle_beta 58.08
_cell_angle_gamma 58.08
_space_group_name_H-M_alt 'P 1'
_space_group_IT_number 1
loop_
_space_group_symop_operation_xyz
'x,y,z'
loop_
_atom_site_label
_atom_site_type_symbol
_atom_site_fract_x
_atom_site_fract_y
_atom_site_fract_z
Tm1 Tm 0.231 0.740 0.740
Tm2 Tm 0.236 0.236 0.236
Tm3 Tm 0.260 0.260 0.769
Tm4 Tm 0.260 0.769 0.260
Tm5 Tm 0.740 0.231 0.740
Tm6 Tm 0.740 0.740 0.231
Tm7 Tm 0.764 0.764 0.764
Tm8 Tm 0.769 0.260 0.260
Te1 Te 0.000 0.000 0.000
Te2 Te 0.000 0.500 0.500
Te3 Te 0.500 0.000 0.500
Te4 Te 0.500 0.500 0.000
As1 As 0.500 0.500 0.500
P1 P 0.000 0.000 0.500
P2 P 0.000 0.500 0.000
P3 P 0.500 0.000 0.000
```

***

No. 9
Material: ScZn2Os
Method: DFT, PBE
State: optimized geometry

Energy of formation from the pure elements in eV/atom: -0.124
Space group: P4mm, No. 99
Density in g/cm3: 9.369
DOS(E_F) in states/eV per cell: 1.05
Electronic total energy in eV for the cell shown: -20.61

```
data_ScZn2Os
_cell_length_a 3.277
_cell_length_b 3.277
_cell_length_c 6.041
_cell_angle_alpha 90.00
_cell_angle_beta 90.00
_cell_angle_gamma 90.00
_space_group_name_H-M_alt 'P 1'
_space_group_IT_number 1
loop_
_space_group_symop_operation_xyz
'x,y,z'
loop_
_atom_site_label
_atom_site_type_symbol
_atom_site_fract_x
_atom_site_fract_y
_atom_site_fract_z
Sc1 Sc 0.000 0.000 0.000
Zn1 Zn 0.000 0.000 0.534
Zn2 Zn 0.500 0.500 0.310
Os1 Os 0.500 0.500 0.766
```

***

No. 10
Material: Zr2ScTiO
Method: DFT, PBE
State: optimized geometry

Space group: P4/mmm, No. 123
Density in g/cm3: 5.410
ΔE_f (raw) in eV/atom: -1.098
DOS(E_F) in states/eV per cell: 5.83
Electronic total energy in eV for the cell shown: -41.77

```
data_Zr2ScTiO
_cell_length_a 4.556
_cell_length_b 4.556
_cell_length_c 4.308
_cell_angle_alpha 90.00
_cell_angle_beta 90.00
_cell_angle_gamma 90.00
_space_group_name_H-M_alt 'P 1'
_space_group_IT_number 1
loop_
_space_group_symop_operation_xyz
'x,y,z'
loop_
_atom_site_label
_atom_site_type_symbol
_atom_site_fract_x
_atom_site_fract_y
_atom_site_fract_z
Zr1 Zr 0.000 0.500 0.000
Zr2 Zr 0.500 0.000 0.000
Sc1 Sc 0.000 0.000 0.500
Ti1 Ti 0.500 0.500 0.500
O1 O 0.000 0.000 0.000
```

***

No. 11
Material: Sc2Pt5
Method: DFT, PBE
State: optimized geometry

Energy of formation from the pure elements in eV/atom: -0.979
Space group: Cccm, No. 66
Density in g/cm3: 14.728
DOS(E_F) in states/eV per cell: 7.36
Electronic total energy in eV for the cell shown: -99.44

```
data_Sc2Pt5
_cell_length_a 7.048
_cell_length_b 7.048
_cell_length_c 5.654
_cell_angle_alpha 90.00
_cell_angle_beta 90.00
_cell_angle_gamma 121.20
_space_group_name_H-M_alt 'P 1'
_space_group_IT_number 1
loop_
_space_group_symop_operation_xyz
'x,y,z'
loop_
_atom_site_label
_atom_site_type_symbol
_atom_site_fract_x
_atom_site_fract_y
_atom_site_fract_z
Sc1 Sc 0.086 0.285 0.000
Sc2 Sc 0.285 0.086 0.500
Sc3 Sc 0.715 0.914 0.500
Sc4 Sc 0.914 0.715 0.000
Pt1 Pt 0.099 0.341 0.500
Pt2 Pt 0.267 0.733 0.250
Pt3 Pt 0.267 0.733 0.750
Pt4 Pt 0.341 0.099 0.000
Pt5 Pt 0.500 0.500 0.250
Pt6 Pt 0.500 0.500 0.750
Pt7 Pt 0.659 0.901 0.000
Pt8 Pt 0.733 0.267 0.250
Pt9 Pt 0.733 0.267 0.750
Pt10 Pt 0.901 0.659 0.500
```

***

Question: The highest electronic total energy belongs to which entry?
Answer: Ba4C

***

Question: Look up the density of the first one.
Answer: 4.303 g/cm3